This record from Alexandria via LeMat-Bulk describes crystalline AlIn3Ag12 at its relaxed geometry. The functional is PBE-GGA.

Unit cell a=4.1762 b=4.1762 c=16.9771 alpha=90.00 beta=90.00 gamma=90.00
Element x y z (fractional)
Al 0.0000 0.0000 0.0000
In 0.0000 0.0000 0.2455
In 0.0000 0.0000 0.5000
In 0.0000 0.0000 0.7545
Ag 0.0000 0.5000 0.1172
Ag 0.0000 0.5000 0.3726
Ag 0.0000 0.5000 0.6274
Ag 0.0000 0.5000 0.8828
Ag 0.5000 0.0000 0.1172
Ag 0.5000 0.0000 0.3726
Ag 0.5000 0.0000 0.6274
Ag 0.5000 0.0000 0.8828
Ag 0.5000 0.5000 0.0000
Ag 0.5000 0.5000 0.2448
Ag 0.5000 0.5000 0.5000
Ag 0.5000 0.5000 0.7552

Energy: -46.54 eV per cell
Crystal system: tetragonal


This record from Alexandria via LeMat-Bulk describes crystalline AlIn2Ag2 at its relaxed geometry. The functional is PBE-GGA.

Unit cell a=8.3362 b=8.3362 c=3.1802 alpha=90.00 beta=90.00 gamma=90.00
Element x y z (fractional)
Al 0.0000 0.0000 0.0000
Al 0.5000 0.5000 0.0000
In 0.1760 0.3240 0.0000
In 0.3240 0.8240 0.0000
In 0.6760 0.1760 0.0000
In 0.8240 0.6760 0.0000
Ag 0.1221 0.6221 0.5000
Ag 0.3779 0.1221 0.5000
Ag 0.6221 0.8779 0.5000
Ag 0.8779 0.3779 0.5000

Energy: -28.01 eV per cell
Crystal system: tetragonal
Polymorph energy (0 for the lowest one): 0.072 eV per atom


This record from Alexandria via LeMat-Bulk describes crystalline AlInAg at its relaxed geometry. The functional is PBE-GGA.

Unit cell a=6.3480 b=6.3480 c=6.3480 alpha=150.87 beta=150.87 gamma=41.66
Element x y z (fractional)
Al 0.0000 0.0000 0.0000
In 0.3189 0.3189 0.0000
Ag 0.6366 0.6366 0.0000

Energy: -9.10 eV per cell
Crystal system: tetragonal
Polymorph energy (0 for the lowest one): 0.032 eV per atom


This record from Alexandria via LeMat-Bulk describes crystalline Al2In2Ag at its relaxed geometry. The functional is PBE-GGA.

Unit cell a=8.6974 b=8.6974 c=8.6974 alpha=155.36 beta=155.36 gamma=35.12
Element x y z (fractional)
Al 0.2500 0.7500 0.5000
Al 0.7500 0.2500 0.5000
In 0.0995 0.0995 0.0000
In 0.9005 0.9005 0.0000
Ag 0.5000 0.5000 0.0000

Energy: -14.71 eV per cell
Crystal system: tetragonal
Polymorph energy (0 for the lowest one): 0.101 eV per atom


This record from Alexandria via LeMat-Bulk describes crystalline Al3InAg12 at its relaxed geometry. The functional is PBE-GGA.

Unit cell a=4.1148 b=4.1148 c=16.6506 alpha=90.00 beta=90.00 gamma=90.00
Element x y z (fractional)
Al 0.0000 0.0000 0.0000
Al 0.0000 0.0000 0.2458
Al 0.0000 0.0000 0.7542
In 0.0000 0.0000 0.5000
Ag 0.0000 0.5000 0.1226
Ag 0.0000 0.5000 0.3670
Ag 0.0000 0.5000 0.6330
Ag 0.0000 0.5000 0.8774
Ag 0.5000 0.0000 0.1226
Ag 0.5000 0.0000 0.3670
Ag 0.5000 0.0000 0.6330
Ag 0.5000 0.0000 0.8774
Ag 0.5000 0.5000 0.0000
Ag 0.5000 0.5000 0.2448
Ag 0.5000 0.5000 0.5000
Ag 0.5000 0.5000 0.7552

Energy: -48.65 eV per cell
Crystal system: tetragonal


This record from Alexandria via LeMat-Bulk describes crystalline AlInAg at its relaxed geometry. The functional is PBE-GGA.

Unit cell a=5.3615 b=5.3615 c=5.3615 alpha=146.88 beta=134.12 gamma=57.75
Element x y z (fractional)
Al 0.0000 0.0000 0.0000
In 0.6787 0.6787 0.0000
Ag 0.3567 0.3567 0.0000

Energy: -9.05 eV per cell
Crystal system: orthorhombic
Polymorph energy (0 for the lowest one): 0.049 eV per atom


This record from Alexandria via LeMat-Bulk describes crystalline AlInAg at its relaxed geometry. The functional is PBE-GGA.

Unit cell a=3.2713 b=3.2713 c=6.5533 alpha=90.00 beta=90.00 gamma=120.00
Element x y z (fractional)
Al 0.0000 0.0000 0.0000
In 0.6667 0.3333 0.3532
Ag 0.3333 0.6667 0.7050

Energy: -9.10 eV per cell
Crystal system: trigonal
Polymorph energy (0 for the lowest one): 0.030 eV per atom


This record from Alexandria via LeMat-Bulk describes crystalline Al2InAg8 at its relaxed geometry. The functional is PBE-GGA.

Unit cell a=7.2694 b=7.2694 c=4.8308 alpha=101.90 beta=101.90 gamma=118.27
Element x y z (fractional)
Al 0.1920 0.8080 0.0000
Al 0.8080 0.1920 0.0000
In 0.5000 0.5000 0.5000
Ag 0.0956 0.0956 0.3061
Ag 0.1729 0.4098 0.8721
Ag 0.2751 0.7249 0.5000
Ag 0.4098 0.1729 0.8721
Ag 0.5902 0.8271 0.1279
Ag 0.7249 0.2751 0.5000
Ag 0.8271 0.5902 0.1279
Ag 0.9044 0.9044 0.6939

Energy: -32.57 eV per cell
Crystal system: monoclinic
Polymorph energy (0 for the lowest one): 0.054 eV per atom


This record from Alexandria via LeMat-Bulk describes crystalline Al2In2Ag7 at its relaxed geometry. The functional is PBE-GGA.

Unit cell a=6.2174 b=6.2174 c=6.4706 alpha=99.86 beta=99.86 gamma=107.71
Element x y z (fractional)
Al 0.1966 0.1966 0.1494
Al 0.8034 0.8034 0.8506
In 0.3451 0.6549 0.5000
In 0.6549 0.3451 0.5000
Ag 0.0849 0.5714 0.8188
Ag 0.1116 0.1116 0.7157
Ag 0.4286 0.9151 0.1812
Ag 0.5000 0.5000 0.0000
Ag 0.5714 0.0849 0.8188
Ag 0.8884 0.8884 0.2843
Ag 0.9151 0.4286 0.1812

Energy: -31.15 eV per cell
Crystal system: monoclinic
Polymorph energy (0 for the lowest one): 0.141 eV per atom


This record from Alexandria via LeMat-Bulk describes crystalline AlIn4Ag at its relaxed geometry. The functional is PBE-GGA.

Unit cell a=6.0659 b=6.0659 c=6.0659 alpha=60.00 beta=60.00 gamma=60.00
Element x y z (fractional)
Al 0.0000 0.0000 0.0000
In 0.1254 0.6249 0.6249
In 0.6249 0.1254 0.6249
In 0.6249 0.6249 0.1254
In 0.6249 0.6249 0.6249
Ag 0.2500 0.2500 0.2500

Energy: -15.39 eV per cell
Crystal system: cubic


This record from Alexandria via LeMat-Bulk describes crystalline AlInAg at its relaxed geometry. The functional is PBE-GGA.

Unit cell a=4.5361 b=4.5361 c=4.5361 alpha=60.00 beta=60.00 gamma=60.00
Element x y z (fractional)
Al 0.0000 0.0000 0.0000
In 0.5000 0.5000 0.5000
Ag 0.7500 0.7500 0.7500

Energy: -9.12 eV per cell
Crystal system: cubic
Polymorph energy (0 for the lowest one): 0.023 eV per atom


This record from Alexandria via LeMat-Bulk describes crystalline AlInAg at its relaxed geometry. The functional is PBE-GGA.

Unit cell a=7.3060 b=3.9387 c=12.8557 alpha=90.00 beta=91.97 gamma=90.00
Element x y z (fractional)
Al 0.0100 0.2500 0.4175
Al 0.1231 0.2500 0.0463
Al 0.3772 0.7500 0.7174
Al 0.6228 0.2500 0.2826
Al 0.8769 0.7500 0.9537
Al 0.9900 0.7500 0.5825
In 0.0555 0.2500 0.7787
In 0.3607 0.7500 0.4157
In 0.4448 0.7500 0.1166
In 0.5552 0.2500 0.8834
In 0.6393 0.2500 0.5843
In 0.9445 0.7500 0.2213
Ag 0.2437 0.2500 0.2512
Ag 0.2436 0.7500 0.9176
Ag 0.2461 0.2500 0.5853
Ag 0.7539 0.7500 0.4147
Ag 0.7564 0.2500 0.0824
Ag 0.7563 0.7500 0.7488

Energy: -55.17 eV per cell
Crystal system: monoclinic
Polymorph energy (0 for the lowest one): 0.000 eV per atom